No. 1
Computed, not measured: an optimized crystal structure of ZrMn3Sn at the GGA-PBEsol level of DFT.

a b c (Å): 4.754 4.754 4.754
angles (deg): 90.00 90.00 90.00
Each line ends with the local moment (μB).
Fractional coordinates of all 5 atoms:
Sn  0.000  0.000  0.000  -0.13
Mn  0.000  0.000  0.500  3.40
Mn  0.500  0.000  0.000  3.40
Mn  0.000  0.500  0.000  3.40
Zr  0.500  0.500  0.500  -0.87

Space-group type: Pm-3m

***

No. 2
Computed, not measured: an optimized crystal structure of SrMn4 at the GGA-PBEsol level of DFT.

a b c (Å): 5.303 5.303 5.303
angles (deg): 109.47 109.47 109.47
Each line ends with the local moment (μB).
Fractional coordinates of all 5 atoms:
Sr  0.000  0.000  0.000  -0.11
Mn  0.500  0.000  0.000  3.65
Mn  0.500  0.500  0.500  3.65
Mn  0.000  0.500  0.000  3.65
Mn  0.000  0.000  0.500  3.65

Space-group type: Im-3m

***

No. 3
Computed, not measured: an optimized crystal structure of Sr2Mn at the GGA-PBEsol level of DFT.

a b c (Å): 4.039 4.039 7.950
angles (deg): 90.00 90.00 120.00
Each line ends with the local moment (μB).
Fractional coordinates of all 3 atoms:
Sr  0.667  0.333  0.731  -0.06
Sr  0.333  0.667  0.269  -0.06
Mn  0.000  0.000  0.000  3.77

Space-group type: P-3m1

***

No. 4
Computed, not measured: an optimized crystal structure of SrMn3 at the GGA-PBEsol level of DFT.

a b c (Å): 3.031 3.031 7.452
angles (deg): 90.00 90.00 90.00
Each line ends with the local moment (μB).
Fractional coordinates of all 4 atoms:
Mn  0.000  0.000  0.500  -2.39
Mn  0.500  0.500  0.668  2.85
Mn  0.500  0.500  0.332  2.85
Sr  0.000  0.000  0.000  -0.06

Space-group type: P4/mmm

***

no.,E_tot (hartree per atom),DFT formation energy (eV per atom)
1,-0.2670,1.26
2,-0.2192,2.21
3,-0.1394,0.69
4,-0.2609,0.68